# 1
Li2ErZn after structural relaxation. Source: Alexandria, functional PBE.

Structure (POSCAR):
```
Li2ErZn
1.0
3.155 0.000 0.000
1.577 2.732 0.000
1.577 0.911 10.342
Zn Li Er
1 2 1
direct
0.500 0.500 0.500
0.099 0.099 0.704
0.901 0.901 0.296
0.000 0.000 0.000
```

Results
Fermi-level density of states	0.573	states/eV/atom
ΔE to the lowest computed polymorph	0.160	eV per atom
magnetization	0.000	μB per atom
E_form	0.177	eV per atom

# 2
LiEr3Zn2 after structural relaxation. Source: Alexandria, functional PBE.

Structure (POSCAR):
```
LiEr3Zn2
1.0
-1.630 -2.051 -2.459
-0.010 -3.854 3.220
-6.717 4.131 1.007
Li Er Zn
1 3 2
direct
0.000 0.000 0.000
0.500 0.500 0.000
0.500 0.828 0.657
0.500 0.172 0.343
0.000 0.339 0.678
0.000 0.661 0.322
```

Results
Fermi-level density of states	1.234	states/eV/atom
magnetization	0.000	μB per atom
E_form	-0.202	eV per atom

# 3
LiEr5Zn4 after structural relaxation. Source: Alexandria, functional PBE.

Structure (POSCAR):
```
LiEr5Zn4
1.0
-2.792 -2.203 -0.140
1.635 -1.911 -2.519
7.443 -10.234 12.596
Li Er Zn
1 5 4
direct
0.000 0.000 0.000
0.500 0.500 0.110
0.500 0.500 0.304
0.500 0.500 0.500
0.500 0.500 0.696
0.500 0.500 0.890
0.000 0.000 0.204
0.000 0.000 0.401
0.000 0.000 0.599
0.000 0.000 0.796
```

Results
Fermi-level density of states	1.099	states/eV/atom
magnetization	0.000	μB per atom
E_form	-0.257	eV per atom

# 4
LiErZn4 after structural relaxation. Source: Alexandria, functional PBE.

Structure (POSCAR):
```
LiErZn4
1.0
-3.067 -2.974 3.128
-3.183 -3.662 -2.121
1.079 -5.143 0.650
Zn Li Er
4 1 1
direct
0.625 0.625 0.124
0.625 0.124 0.625
0.625 0.625 0.625
0.124 0.625 0.625
0.000 0.000 0.000
0.250 0.250 0.250
```

Results
Fermi-level density of states	0.548	states/eV/atom
ΔE to the lowest computed polymorph	0.036	eV per atom
magnetization	0.000	μB per atom
E_form	-0.240	eV per atom

# 5
LiEr2Zn6 after structural relaxation. Source: Alexandria, functional PBE.

Structure (POSCAR):
```
LiEr2Zn6
1.0
-1.364 -2.004 2.146
0.235 -5.745 -5.212
6.208 -4.641 -0.383
Li Er Zn
1 2 6
direct
0.000 0.000 0.000
0.000 0.333 0.333
0.000 0.667 0.667
0.500 0.674 0.000
0.500 0.000 0.326
0.500 0.326 0.000
0.500 0.674 0.326
0.500 0.000 0.674
0.500 0.326 0.674
```

Results
Fermi-level density of states	0.460	states/eV/atom
magnetization	0.000	μB per atom
E_form	-0.272	eV per atom

# 6
LiEr4Zn5 after structural relaxation. Source: Alexandria, functional PBE.

Structure (POSCAR):
```
LiEr4Zn5
1.0
3.480 0.000 0.000
0.000 3.480 0.000
0.000 0.000 17.301
Li Er Zn
1 4 5
direct
0.000 0.000 0.000
0.000 0.000 0.190
0.000 0.000 0.396
0.000 0.000 0.604
0.000 0.000 0.810
0.500 0.500 0.083
0.500 0.500 0.293
0.500 0.500 0.500
0.500 0.500 0.707
0.500 0.500 0.917
```

Results
Fermi-level density of states	0.767	states/eV/atom
magnetization	0.000	μB per atom
E_form	-0.293	eV per atom

# 7
LiErZn after structural relaxation. Source: Alexandria, functional PBE.

Structure (POSCAR):
```
LiErZn
1.0
3.377 0.000 -0.249
0.000 3.388 -0.006
0.769 0.025 11.005
Li Er Zn
2 2 2
direct
0.870 0.291 0.835
0.374 0.791 0.677
0.871 0.291 0.137
0.374 0.791 0.375
0.875 0.291 0.549
0.370 0.792 0.964
```

Results
Fermi-level density of states	1.076	states/eV/atom
ΔE to the lowest computed polymorph	0.004	eV per atom
magnetization	0.003	μB per atom
E_form	-0.128	eV per atom

# 8
LiErZn after structural relaxation. Source: Alexandria, functional PBE.

Structure (POSCAR):
```
LiErZn
1.0
-4.351 3.241 -1.069
-4.671 -0.297 2.977
0.452 5.377 1.193
Er Zn Li
2 2 2
direct
0.052 0.625 0.673
0.555 0.367 0.917
0.803 0.996 0.295
0.303 0.996 0.795
0.803 0.496 0.295
0.303 0.996 0.295
```

Results
Fermi-level density of states	0.856	states/eV/atom
ΔE to the lowest computed polymorph	0.000	eV per atom
magnetization	0.000	μB per atom
E_form	-0.132	eV per atom

# 9
LiEr3Zn4 after structural relaxation. Source: Alexandria, functional PBE.

Structure (POSCAR):
```
LiEr3Zn4
1.0
4.689 0.000 1.384
2.140 4.172 1.384
0.029 0.018 8.536
Zn Er Li
4 3 1
direct
0.879 0.879 0.364
0.374 0.374 0.877
0.121 0.121 0.636
0.626 0.626 0.123
0.254 0.254 0.239
0.746 0.746 0.761
0.500 0.500 0.500
0.000 0.000 0.000
```

Results
Fermi-level density of states	0.917	states/eV/atom
magnetization	0.000	μB per atom
E_form	-0.282	eV per atom

# 10
LiErZn4 after structural relaxation. Source: Alexandria, functional PBE.

Structure (POSCAR):
```
LiErZn4
1.0
4.376 0.000 0.000
-2.188 3.790 0.000
0.000 0.000 6.367
Li Er Zn
1 1 4
direct
0.000 0.000 0.000
0.000 0.000 0.500
0.333 0.667 0.217
0.333 0.667 0.783
0.667 0.333 0.217
0.667 0.333 0.783
```

Results
Fermi-level density of states	0.471	states/eV/atom
ΔE to the lowest computed polymorph	0.000	eV per atom
magnetization	0.000	μB per atom
E_form	-0.275	eV per atom

# 11
LiErZn after structural relaxation. Source: Alexandria, functional PBE.

Structure (POSCAR):
```
LiErZn
1.0
3.615 0.000 0.000
0.000 3.615 0.000
-1.807 -1.807 4.722
Zn Er Li
1 1 1
direct
0.271 0.271 0.543
0.943 0.943 0.886
0.636 0.636 0.271
```

Results
Fermi-level density of states	0.483	states/eV/atom
ΔE to the lowest computed polymorph	0.035	eV per atom
magnetization	0.022	μB per atom
E_form	-0.097	eV per atom

# 12
LiEr2Zn after structural relaxation. Source: Alexandria, functional PBE.

Structure (POSCAR):
```
LiEr2Zn
1.0
-0.641 -0.661 3.328
2.038 -2.166 1.754
6.295 6.677 4.331
Zn Li Er
1 1 2
direct
0.000 0.000 0.000
0.500 0.500 0.500
0.741 0.741 0.776
0.259 0.259 0.224
```

Results
Fermi-level density of states	0.834	states/eV/atom
ΔE to the lowest computed polymorph	0.149	eV per atom
magnetization	0.000	μB per atom
E_form	0.024	eV per atom